DFT (PBE) results for BaNiSe after structural relaxation.

Results
formation energy without anion corrections	-0.93	eV/atom
theoretical density	6.327	g/cm3
spin magnetization	0.00	μB per cell
Fermi-level density of states	0.32	states/eV/atom

```
data_BaNiSe
_chemical_formula_sum 'Ba1 Ni1 Se1'
_space_group_name_H-M_alt 'P -6 m 2'
_space_group_IT_number 187
_space_group_name_Hall 'P -6 2'
_cell_length_a 4.2664
_cell_length_b 4.2664
_cell_length_c 4.5780
_cell_angle_alpha 90.00
_cell_angle_beta 90.00
_cell_angle_gamma 120.00
loop_
_atom_site_label
_atom_site_type_symbol
_atom_site_fract_x
_atom_site_fract_y
_atom_site_fract_z
Ba1 Ba 0.0000 0.0000 0.0000
Ni1 Ni 0.6667 0.3333 0.5000
Se1 Se 0.3333 0.6667 0.5000
```